A relaxed InCu2Ni crystal. Source: Alexandria via LeMat-Bulk, functional PBE.

abc: 3.6307 3.6307 9.5513
angles: 79.04 79.04 90.00
Fractional positions:
1 Ni 0.5000 0.5000 0.0000
2 Ni 0.2500 0.7500 0.5000
3 Cu 0.6052 0.1250 0.2500
4 Cu 0.1448 0.6250 0.2500
5 Cu 0.3750 0.3948 0.7500
6 Cu 0.8750 0.8552 0.7500
7 In 0.0000 0.0000 0.0000
8 In 0.7500 0.2500 0.5000

Calculated values
As for the formation enthalpy at 0 K: 0.90 eV per formula unit. As for the total energy: -3.954 eV per atom.